Material: FeIr2F2
Method: DFT, GGA+U
State: optimized geometry

Summary:
Theoretical density, Mg/m³: 12.92
SG: I4/mmm (139)
Offset from the most stable computed form, eV/atom: 0.260
Total magnetization, μB per formula unit: 1.744
Uncorrected energy, eV per formula unit: -24.824

a b c (Å): 3.229 3.229 6.325
angles (deg): 75.21 75.21 90.00
Positions (direct):
F  0.750  0.250  0.500
Ir  0.604  0.604  0.791
Fe  0.000  0.000  0.000
Ir  0.396  0.396  0.209
F  0.250  0.750  0.500